DFT (GGA+U) results for a relaxed Mn2IrIF crystal.

abc: 5.1799 5.1799 4.2048
angles: 90.00 90.00 90.00
Last column: nearest neighbours and their distance in Å.
Space group P4/mmm (No. 123)
Symmetry-distinct sites (fractional):
Mn1 0.0000 0.5000 0.0000 x2  2 Ir 2.59
Ir1 0.0000 0.0000 0.0000 x1  2 F 2.10
I1 0.5000 0.5000 0.5000 x1  8 Mn 3.34, 4 F 3.66
F1 0.0000 0.0000 0.5000 x1  2 Ir 2.10

Computed properties:
energy: -5.4311 eV/atom